[1]
Here is crystalline TcRh5 at its relaxed geometry from Alexandria via LeMat-Bulk. Energies are from PBE.

The structure in POSCAR format:
```
TcRh5
1.0
4.741 0.000 0.000
-2.370 4.106 0.000
0.000 0.000 4.373
Tc Rh
1 5
Cartesian
1.580 2.737 2.187 Tc
0.015 2.737 0.000 Rh
2.363 4.093 0.000 Rh
-0.790 1.369 2.187 Rh
2.363 1.381 0.000 Rh
1.580 0.000 2.187 Rh
```

- DOS(E_F) (states/eV per atom) = 1.423
- crystal system = hexagonal
- electronic total energy (eV per atom) = -7.914
- formation enthalpy at 0 K (meV/atom) = -60
- relative energy among the computed polymorphs (meV per atom) = 3

[2]
Here is crystalline Tc3Rh at its relaxed geometry from Alexandria via LeMat-Bulk. Energies are from PBE.

The structure in POSCAR format:
```
Tc3Rh
1.0
-0.266 0.218 -5.164
1.502 -4.279 -2.493
-3.295 2.343 3.230
Rh Tc
1 3
Cartesian
-3.559 2.559 -1.932 Rh
0.608 -2.023 -3.834 Tc
-0.875 -0.161 -2.549 Tc
0.011 -2.417 -1.228 Tc
```

- DOS(E_F) (states/eV per atom) = 1.018
- crystal system = orthorhombic
- electronic total energy (eV per atom) = -9.707
- formation enthalpy at 0 K (meV/atom) = -95
- relative energy among the computed polymorphs (meV per atom) = 60

[3]
Here is crystalline TcRh3 at its relaxed geometry from Alexandria via LeMat-Bulk. Energies are from PBE.

The structure in POSCAR format:
```
TcRh3
1.0
4.891 0.000 0.000
0.000 4.891 0.000
0.000 0.000 4.891
Rh Tc
6 2
Cartesian
3.668 2.446 0.000 Rh
2.446 0.000 3.668 Rh
0.000 1.223 2.446 Rh
2.446 0.000 1.223 Rh
0.000 3.668 2.446 Rh
1.223 2.446 0.000 Rh
0.000 0.000 0.000 Tc
2.446 2.446 2.446 Tc
```

- DOS(E_F) (states/eV per atom) = 1.455
- crystal system = cubic
- electronic total energy (eV per atom) = -7.938
- formation enthalpy at 0 K (meV/atom) = 167

[4]
Here is crystalline Tc2Rh3 at its relaxed geometry from Alexandria via LeMat-Bulk. Energies are from PBE.

The structure in POSCAR format:
```
Tc2Rh3
1.0
3.886 -4.987 5.035
-0.828 -6.192 3.283
4.412 -2.270 -1.457
Tc Rh
4 6
Cartesian
5.761 -6.910 4.363 Tc
3.866 -4.477 0.156 Tc
3.532 -9.795 5.946 Tc
1.788 -5.624 3.343 Tc
4.177 -6.184 2.153 Rh
5.378 -9.469 3.846 Rh
5.770 -11.351 5.848 Rh
3.236 -7.911 4.111 Rh
3.862 -5.255 4.787 Rh
1.844 -3.631 1.468 Rh
```

- DOS(E_F) (states/eV per atom) = 1.253
- crystal system = orthorhombic
- electronic total energy (eV per atom) = -8.513
- formation enthalpy at 0 K (meV/atom) = 44
- relative energy among the computed polymorphs (meV per atom) = 0

[5]
Here is crystalline TcRh5 at its relaxed geometry from Alexandria via LeMat-Bulk. Energies are from PBE.

The structure in POSCAR format:
```
TcRh5
1.0
2.574 -4.312 -0.293
0.242 -3.061 3.984
-2.450 -4.393 -0.051
Tc Rh
1 5
Cartesian
0.000 0.000 0.000 Tc
0.275 -8.825 2.730 Rh
0.258 -5.943 3.357 Rh
-1.087 -6.609 1.340 Rh
0.137 -4.413 1.365 Rh
1.424 -6.568 1.218 Rh
```

- DOS(E_F) (states/eV per atom) = 1.446
- crystal system = cubic
- electronic total energy (eV per atom) = -7.459
- formation enthalpy at 0 K (meV/atom) = 395
- relative energy among the computed polymorphs (meV per atom) = 458

[6]
Here is crystalline TcRh5 at its relaxed geometry from Alexandria via LeMat-Bulk. Energies are from PBE.

The structure in POSCAR format:
```
TcRh5
1.0
-1.504 2.887 -3.832
-2.257 0.388 4.476
2.880 3.075 1.186
Rh Tc
5 1
Cartesian
0.312 1.731 2.831 Rh
-1.755 2.054 -1.063 Rh
-0.440 3.175 0.915 Rh
0.688 2.981 -1.323 Rh
-2.006 1.221 1.707 Rh
0.000 0.000 0.000 Tc
```

- DOS(E_F) (states/eV per atom) = 1.480
- crystal system = hexagonal
- electronic total energy (eV per atom) = -7.273
- formation enthalpy at 0 K (meV/atom) = 580
- relative energy among the computed polymorphs (meV per atom) = 643

[7]
Here is crystalline Tc3Rh at its relaxed geometry from Alexandria via LeMat-Bulk. Energies are from PBE.

The structure in POSCAR format:
```
Tc3Rh
1.0
-5.776 5.465 4.346
-5.659 3.443 6.184
-3.771 5.421 6.206
Tc Rh
3 1
Cartesian
-11.406 10.749 12.554 Tc
-7.603 7.164 8.368 Tc
-3.799 3.580 4.182 Tc
0.000 0.000 0.000 Rh
```

- DOS(E_F) (states/eV per atom) = 0.555
- crystal system = trigonal
- electronic total energy (eV per atom) = -9.630
- formation enthalpy at 0 K (meV/atom) = -18
- relative energy among the computed polymorphs (meV per atom) = 137

[8]
Here is crystalline TcRh3 at its relaxed geometry from Alexandria via LeMat-Bulk. Energies are from PBE.

The structure in POSCAR format:
```
TcRh3
1.0
5.449 0.000 0.000
-2.724 4.719 0.000
0.000 0.000 8.838
Rh Tc
12 4
Cartesian
0.000 1.578 6.629 Rh
-1.362 2.359 0.000 Rh
2.724 0.000 4.419 Rh
1.367 0.789 2.210 Rh
1.362 2.359 4.419 Rh
2.724 0.000 0.000 Rh
1.357 3.929 6.629 Rh
4.082 0.789 2.210 Rh
2.724 3.140 2.210 Rh
-1.362 2.359 4.419 Rh
-1.357 3.929 6.629 Rh
1.362 2.359 0.000 Rh
0.000 0.000 0.000 Tc
2.724 1.573 6.629 Tc
0.000 0.000 4.419 Tc
0.000 3.146 2.210 Tc
```

- DOS(E_F) (states/eV per atom) = 1.358
- crystal system = hexagonal
- electronic total energy (eV per atom) = -8.146
- formation enthalpy at 0 K (meV/atom) = -40